(1)
Below is crystalline MoRhW at its relaxed geometry, with properties calculated at the PBE level.

abc: 3.2415 3.2415 8.9896
angles: 90.00 90.00 90.00
With the nearest neighbours (Å) after each atom.
Space group I4mm (No. 107)
Unique sites:
Mo: 0.0000 0.0000 0.0000 (multiplicity 2)  4 W 2.66, 5 Rh 2.80-2.88
Rh: 0.0000 0.0000 0.3207 (multiplicity 2)  5 W 2.76-2.96, 5 Mo 2.80-2.88
W: 0.0000 0.0000 0.6504 (multiplicity 2)  4 Mo 2.66, 5 Rh 2.76-2.96

- E above lowest polymorph: 269 meV per atom

(2)
Below is crystalline Pr8Cd3Co2 at its relaxed geometry, with properties calculated at the PBE level.

abc: 16.5993 7.4885 6.4402
angles: 90.00 99.63 90.00
With the nearest neighbours (Å) after each atom.
Space group C2/m (No. 12)
Unique sites:
Pr: 0.0841 0.0000 0.2929 (multiplicity 4)  1 Co 2.70
Pr: 0.1507 0.2483 0.8617 (multiplicity 8)  2 Co 2.74-2.89
Pr: 0.1904 0.5000 0.3830 (multiplicity 4)  1 Co 2.94
Cd: 0.0000 0.3200 0.5000 (multiplicity 4)  1 Cd 2.70
Cd: 0.0000 0.5000 0.0000 (multiplicity 2)  6 Pr 3.37-3.67, 4 Cd 3.49
Co: 0.2319 0.0000 0.1713 (multiplicity 4)  6 Pr 2.70-2.94

- Total DFT energy (no corrections): -111.8 eV per cell